# CsSiMoPC (PBE-GGA, relaxed)
# Relative energy among the computed polymorphs: 7 meV/atom
# Total magnetization: 0.0 μB per formula unit
data_CsSiMoPC
_cell_length_a 3.285
_cell_length_b 4.807
_cell_length_c 7.849
_cell_angle_alpha 86.33
_cell_angle_beta 78.05
_cell_angle_gamma 70.09
_symmetry_space_group_name_H-M 'P 1'
_symmetry_Int_Tables_number 1
loop_
_symmetry_equiv_pos_as_xyz
'x,y,z'
loop_
_atom_site_label
_atom_site_type_symbol
_atom_site_fract_x
_atom_site_fract_y
_atom_site_fract_z
Cs1 Cs 0.000 0.000 0.000
Si1 Si 0.493 0.393 0.615
Mo1 Mo 0.814 0.844 0.524
P1 P 0.531 0.591 0.339
C1 C 0.854 0.578 0.711